# 1
{"formula": "SmGd2Pb", "functional": "GGA-PBE", "state": "optimized geometry", "lattice": [[1.785, 1.031, 12.162], [-1.785, 1.031, 12.162], [0.000, -2.061, 12.162]], "species": ["Sm", "Gd", "Gd", "Pb"], "fractional_positions": [[0.000, 0.000, 0.000], [0.412, 0.412, 0.412], [0.588, 0.588, 0.588], [0.500, 0.500, 0.500]], "spacegroup": "R-3m (166)", "ef_ev_per_atom": 0.051, "m_tot_mub_per_fu": 14.45, "polymorph_energy_ev_per_atom": 0.379}


# 2
{"formula": "Pr2Sm12Er5", "functional": "GGA-PBE", "state": "optimized geometry", "lattice": [[7.945, -4.660, 0.000], [7.945, 4.660, 0.000], [-0.139, 0.000, 8.674]], "species": ["Pr", "Pr", "Sm", "Sm", "Sm", "Sm", "Sm", "Sm", "Sm", "Sm", "Sm", "Sm", "Sm", "Sm", "Er", "Er", "Er", "Er", "Er"], "fractional_positions": [[0.178, 0.822, 0.000], [0.822, 0.178, 0.000], [0.063, 0.063, 0.336], [0.067, 0.682, 0.341], [0.164, 0.525, 0.760], [0.318, 0.933, 0.659], [0.409, 0.409, 0.118], [0.475, 0.836, 0.240], [0.525, 0.164, 0.760], [0.591, 0.591, 0.882], [0.682, 0.067, 0.341], [0.836, 0.475, 0.240], [0.933, 0.318, 0.659], [0.937, 0.937, 0.664], [0.199, 0.199, 0.016], [0.270, 0.270, 0.428], [0.500, 0.500, 0.500], [0.730, 0.730, 0.572], [0.801, 0.801, 0.984]], "spacegroup": "C2/m (12)", "ef_ev_per_atom": 0.133, "m_tot_mub_per_fu": 0.00, "polymorph_energy_ev_per_atom": 0.017}


# 3
{"formula": "Mg2ScCdO", "functional": "GGA-PBE", "state": "optimized geometry", "lattice": [[4.415, 0.000, 0.000], [0.000, 4.415, 0.000], [0.000, 0.000, 4.378]], "species": ["Mg", "Mg", "Sc", "Cd", "O"], "fractional_positions": [[0.000, 0.500, 0.000], [0.500, 0.000, 0.000], [0.000, 0.000, 0.500], [0.500, 0.500, 0.500], [0.000, 0.000, 0.000]], "spacegroup": "P4/mmm (123)", "formation_energy_uncorrected_mev_per_atom": -1100, "m_tot_mub_per_fu": 0.00}


# 4
{"formula": "Ba3Li2La2Hg4", "functional": "GGA-PBE", "state": "optimized geometry", "lattice": [[5.311, 0.000, 0.000], [-2.655, 4.599, 0.000], [0.000, 0.000, 15.993]], "species": ["Ba", "Ba", "Ba", "Li", "Li", "La", "La", "Hg", "Hg", "Hg", "Hg"], "fractional_positions": [[0.000, 0.000, 0.000], [0.000, 0.000, 0.258], [0.000, 0.000, 0.742], [0.333, 0.667, 0.143], [0.667, 0.333, 0.857], [0.333, 0.667, 0.569], [0.667, 0.333, 0.431], [0.333, 0.667, 0.370], [0.333, 0.667, 0.868], [0.667, 0.333, 0.132], [0.667, 0.333, 0.630]], "spacegroup": "P-3m1 (164)", "ef_ev_per_atom": -0.260, "m_tot_mub_per_fu": 0.00}